# Sm3ErTh3 (PBE-GGA, optimized geometry)
data_Sm3ErTh3
_cell_length_a 9.5610
_cell_length_b 9.5610
_cell_length_c 5.8542
_cell_angle_alpha 90.00
_cell_angle_beta 90.00
_cell_angle_gamma 120.00
_symmetry_space_group_name_H-M 'P 63/m'
_symmetry_Int_Tables_number 176
_symmetry_space_group_name_Hall '-P 6c'
loop_
_atom_site_label
_atom_site_fract_x
_atom_site_fract_y
_atom_site_fract_z
Sm1 0.0446 0.8019 0.2500
Er1 0.3333 0.6667 0.2500
Th1 0.1045 0.6152 0.7500
# Total DFT energy (no corrections) ... -5.795 eV/atom
# Energy of formation from the pure elements ... 0.0590 eV/atom
# Theoretical density ... 9.42 g/cm3
# Fermi-level density of states ... 21.51 states/eV/cell